Arrangement one

VASP calculation (PBE) on crystalline Ho2B6Ru at its relaxed geometry.

Calculated values
Its space-group type is No. 55.

Cell lengths 9.1264, 11.4950, 3.6505 Å; angles 90.00, 90.00, 90.00 degrees
Fractional positions:
Ho1 0.0563 0.1274 0.0000
Ho2 0.1778 0.4138 0.0000
Ho3 0.3222 0.9138 0.0000
Ho4 0.4437 0.6274 0.0000
Ho5 0.5563 0.3726 0.0000
Ho6 0.6778 0.0862 0.0000
Ho7 0.8222 0.5862 0.0000
Ho8 0.9437 0.8726 0.0000
B1 0.0169 0.2871 0.5000
B2 0.0536 0.5670 0.5000
B3 0.1098 0.9696 0.5000
B4 0.1316 0.8148 0.5000
B5 0.2094 0.2334 0.5000
B6 0.2478 0.5798 0.5000
B7 0.2522 0.0798 0.5000
B8 0.2906 0.7334 0.5000
B9 0.3684 0.3148 0.5000
B10 0.3902 0.4696 0.5000
B11 0.4464 0.0670 0.5000
B12 0.4831 0.7871 0.5000
B13 0.5169 0.2129 0.5000
B14 0.5536 0.9330 0.5000
B15 0.6098 0.5304 0.5000
B16 0.6316 0.6852 0.5000
B17 0.7094 0.2666 0.5000
B18 0.7478 0.9202 0.5000
B19 0.7522 0.4202 0.5000
B20 0.7906 0.7666 0.5000
B21 0.8684 0.1852 0.5000
B22 0.8902 0.0304 0.5000
B23 0.9464 0.4330 0.5000
B24 0.9831 0.7129 0.5000
Ru1 0.1377 0.6788 0.0000
Ru2 0.3623 0.1788 0.0000
Ru3 0.6377 0.8212 0.0000
Ru4 0.8623 0.3212 0.0000

***

Arrangement two

VASP calculation (PBE) on crystalline Ho2B6Ru at its relaxed geometry.

Calculated values
Its space-group type is No. 71.

Cell lengths 6.6513, 6.6513, 6.6513 Å; angles 149.66, 132.55, 57.36 degrees
Fractional positions:
Ho1 0.1614 0.1614 0.0000
Ho2 0.8386 0.8386 0.0000
B1 0.1677 0.5000 0.6677
B2 0.2314 0.3804 0.8510
B3 0.4706 0.6196 0.8510
B4 0.5294 0.3804 0.1490
B5 0.7686 0.6196 0.1490
B6 0.8323 0.5000 0.3323
Ru1 0.5000 0.0000 0.5000

***

The calculated energies rank the structures as follows, beginning with the most stable: arrangement one, arrangement two.